No. 1
DFT (GGA-PBEsol) results for a geometry-optimized Mn3Co structure.

abc: 2.4432 2.4432 7.8441
angles: 90.00 90.00 120.00
Fractional positions:
Mn1 0.6667 0.3333 0.7513
Mn2 0.6667 0.3333 0.2487
Mn3 0.0000 0.0000 0.5000
Co1 0.0000 0.0000 0.0000

Values from the calculation:
The final energy is -36.9 eV for the cell shown. The size of the total moment comes out at 0.00 μB/f.u.



No. 2
DFT (GGA-PBEsol) results for a geometry-optimized Mn8Co structure.

abc: 3.4433 5.4568 5.4568
angles: 84.29 71.61 71.61
Each line ends with the local moment (μB).
Fractional positions:
Mn1 0.6692 0.3308 0.3308  0.06
Mn2 0.3348 0.0000 0.3305  -0.03
Mn3 0.6652 0.6695 0.0000  -0.03
Mn4 0.3308 0.6692 0.6692  0.06
Mn5 0.6652 0.0000 0.6695  -0.03
Mn6 0.0000 0.6692 0.3308  0.06
Mn7 0.0000 0.3308 0.6692  0.06
Mn8 0.3348 0.3305 0.0000  -0.03
Co1 0.0000 0.0000 0.0000  -0.01

Values from the calculation:
The final energy is -85.1 eV for the cell shown. The size of the total moment comes out at 0.09 μB/f.u.



No. 3
DFT (GGA-PBEsol) results for a geometry-optimized MnCo5 structure.

abc: 3.9095 4.2446 4.2446
angles: 120.00 90.00 90.00
Each line ends with the local moment (μB).
Fractional positions:
Co1 0.5000 0.3333 0.6667  1.07
Co2 0.0000 0.6634 0.0000  1.04
Co3 0.0000 0.3366 0.3366  1.04
Co4 0.0000 0.0000 0.6634  1.04
Co5 0.5000 0.6667 0.3333  1.07
Mn1 0.5000 0.0000 0.0000  -1.98

Values from the calculation:
The final energy is -48.2 eV for the cell shown. The size of the total moment comes out at 3.22 μB/f.u.



No. 4
DFT (GGA-PBEsol) results for a geometry-optimized MnCo2 structure.

abc: 2.4285 4.6016 5.7394
angles: 103.64 90.00 105.32
Each line ends with the local moment (μB).
Fractional positions:
Co1 0.3891 0.7780 0.2770  0.80
Co2 0.0012 0.0026 0.9983  0.58
Co3 0.6661 0.3323 0.3342  0.77
Co4 0.3319 0.6639 0.6667  0.39
Mn1 0.0552 0.1103 0.6129  -0.37
Mn2 0.7230 0.4462 0.9443  -0.28

Values from the calculation:
The final energy is -50.2 eV for the cell shown. The size of the total moment comes out at 0.93 μB/f.u.